# Cs2Tl3Br5 PBE optimized geometry
# formation energy from raw total energies	-1.220	eV/atom
# total DFT energy (no corrections)	-2.937	eV/atom
# total moment	0.000	μB/f.u.
data_Cs2Tl3Br5
_chemical_formula_sum 'Cs4 Tl6 Br10'
_symmetry_space_group_name_H-M 'C 1 2/m 1'
_symmetry_Int_Tables_number 12
_symmetry_space_group_name_Hall '-C 2y'
_cell_length_a 17.519
_cell_length_b 4.894
_cell_length_c 12.566
_cell_angle_alpha 90.00
_cell_angle_beta 125.79
_cell_angle_gamma 90.00
loop_
_atom_site_label
_atom_site_type_symbol
_atom_site_fract_x
_atom_site_fract_y
_atom_site_fract_z
Cs1 Cs 0.169 0.000 0.266
Tl1 Tl 0.000 0.000 0.500
Tl2 Tl 0.114 0.500 0.870
Br1 Br 0.000 0.500 0.000
Br2 Br 0.094 0.500 0.416
Br3 Br 0.203 0.000 0.804